Entry from the Alexandria database: a geometry-optimized PuAl11Rh structure (PBE).

Cell: 5.1904 7.1296 6.8202 Å, 82.67 67.63 70.41°
Site moments in Bohr magnetons follow the coordinates.
Fractional coordinates of all 13 atoms:
Pu  0.0000  0.0000  0.0000  -5.30
Al  0.2854  0.2219  0.2143  0.00
Al  0.7146  0.7781  0.7857  0.00
Al  0.5003  0.7781  0.2143  0.00
Al  0.4997  0.2219  0.7857  0.00
Al  0.3573  0.6438  0.6509  0.01
Al  0.6427  0.3562  0.3491  0.01
Al  0.9918  0.3562  0.6509  0.01
Al  0.0082  0.6438  0.3491  0.01
Al  0.0000  0.5000  0.0000  0.01
Al  0.5000  0.0000  0.5000  0.01
Al  0.0000  0.0000  0.5000  0.01
Rh  0.5000  0.5000  0.0000  0.00

DFT formation energy	-0.279	eV per atom
Fermi-level density of states	0.749	states/eV/atom
SG	C2/m (12)